VASP calculation (PBE) on an optimized crystal structure of H2IrRuBr.

Lattice parameters (Å, degrees): 3.4780 7.8192 3.4780 90.00 90.00 90.00
Last column: nearest neighbours and their distance in Å.
Sites, in units of the cell vectors:
H: 0.0000 0.0000 0.5000  2 Br 1.74
Br: 0.0000 0.0000 0.0000  4 H 1.74
Ru: 0.5000 0.5000 0.5000  4 Ir 2.46
H: 0.5000 0.0000 0.0000  2 Br 1.74
Ir: 0.0000 0.5000 0.0000  4 Ru 2.46

Calculated values
- SG: P4/mmm (123)
- Total energy: -4.12 eV/atom
- N(E_F): 5.15 states/eV/cell
- Magnetic moment: 0.0 μB per cell